1.
NbAuN2: optimized geometry, PBE.

Unit cell a=5.030 b=5.030 c=9.605 alpha=90.00 beta=90.00 gamma=90.00
Space group I-42d (No. 122)
Symmetry-distinct sites (fractional):
1 Nb 0.000 0.000 0.000 x4
2 Au 0.000 0.000 0.500 x4
3 N 0.186 0.250 0.125 x8

Results
* final energy: -121.0 eV for the cell shown
* total moment: 0.000 Bohr magnetons per cell
* excess energy over the best structure of this formula in the dataset: 0.78 eV per formula unit
* theoretical density: 8.69 Mg/m³
* calculated volume: 15.2 Å³ per atom
* energy relative to the elements, uncorrected: -0.063 eV/atom
* N(E_F): 0.00 states/eV per atom



2.
NbAuN2: optimized geometry, PBE.

Unit cell a=5.677 b=5.677 c=5.677 alpha=90.00 beta=90.00 gamma=90.00
Space group Fm-3m (No. 225)
Symmetry-distinct sites (fractional):
1 Nb 0.000 0.000 0.000 x4
2 Au 0.000 0.000 0.500 x4
3 N 0.250 0.250 0.250 x8

Results
* final energy: -105.4 eV for the cell shown
* total moment: 0.000 Bohr magnetons per cell
* excess energy over the best structure of this formula in the dataset: 4.68 eV per formula unit
* theoretical density: 11.54 Mg/m³
* calculated volume: 11.4 Å³ per atom
* energy relative to the elements, uncorrected: 0.913 eV/atom
* N(E_F): 0.10 states/eV per atom